Entry 1:
Compound: Cd2GaRu
Source: Alexandria
Functional: GGA-PBE
Structure: optimized geometry

extended XYZ file:
```
16
Lattice="3.863 0.000 0.000 0.000 3.863 0.000 0.000 0.000 20.607" Properties=species:S:1:pos:R:3 pbc="T T T"
Cd 0.939 0.966 2.576
Cd 0.966 2.871 7.728
Cd 0.966 2.924 18.031
Cd 0.993 0.966 12.879
Cd 2.871 2.897 12.879
Cd 2.897 0.939 18.031
Cd 2.897 0.993 7.728
Cd 2.924 2.897 2.576
Ga 0.000 0.000 10.304
Ga 0.000 1.932 15.455
Ga 1.932 0.000 5.152
Ga 1.932 1.932 0.000
Ru 0.000 0.000 0.000
Ru 0.000 1.932 5.152
Ru 1.932 0.000 15.455
Ru 1.932 1.932 10.304
```

Its space-group type is I-42d, No. 122. For the energy of formation from the pure elements, the calculation gives 0.3785 eV/atom.

***

Entry 2:
Compound: AcCuCl4
Source: Alexandria
Functional: GGA-PBE
Structure: optimized geometry

extended XYZ file:
```
12
Lattice="-4.617 4.617 4.131 4.617 -4.617 4.131 4.617 4.617 -4.131" Properties=species:S:1:pos:R:3 pbc="T T T"
Ac 4.617 2.309 1.033
Ac 0.000 2.309 3.098
Cu 4.617 -2.309 3.098
Cu 0.000 6.926 1.033
Cl 4.617 -0.606 1.530
Cl 4.617 4.011 -1.530
Cl 1.702 2.309 0.535
Cl 2.915 -2.309 4.666
Cl 1.702 6.926 -0.535
Cl 2.915 2.309 3.595
Cl 0.000 0.606 5.661
Cl 0.000 5.224 2.601
```

Its space-group type is I4_1/amd, No. 141. The formation energy from raw total energies comes out at -1.752 eV/atom.

***

Entry 3:
Compound: LiYZn3
Source: Alexandria
Functional: GGA-PBE
Structure: optimized geometry

extended XYZ file:
```
10
Lattice="3.041 -5.111 0.000 3.041 5.111 0.000 0.000 0.000 5.941" Properties=species:S:1:pos:R:3 pbc="T T T"
Li 3.041 4.071 4.455
Li 3.041 -4.071 1.485
Y 3.041 2.719 1.485
Y 3.041 -2.719 4.455
Zn 1.720 0.000 0.000
Zn 1.720 0.000 2.970
Zn 3.041 1.620 4.455
Zn 3.041 -1.620 1.485
Zn 4.363 0.000 0.000
Zn 4.363 0.000 2.970
```

Its space-group type is Cmcm, No. 63. For the energy of formation from the pure elements, the calculation gives -0.2134 eV/atom. The excess energy over the best structure of this formula in the dataset is 0.0 kJ per mole of atoms.

***

Entry 4:
Compound: LaInNi2Sn2
Source: Alexandria
Functional: GGA-PBE
Structure: optimized geometry

extended XYZ file:
```
6
Lattice="4.716 0.000 0.000 0.000 4.716 0.000 0.000 0.000 6.214" Properties=species:S:1:pos:R:3 pbc="T T T"
La 0.000 0.000 0.000
In 0.000 0.000 3.107
Ni 0.000 2.358 3.107
Ni 2.358 0.000 3.107
Sn 2.358 2.358 1.533
Sn 2.358 2.358 4.681
```

Its space-group type is P4/mmm, No. 123. For the energy of formation from the pure elements, the calculation gives -0.1150 eV/atom.

***

Entry 5:
Compound: PaAgHg2
Source: Alexandria
Functional: GGA-PBE
Structure: optimized geometry

extended XYZ file:
```
4
Lattice="5.508 0.000 0.000 0.000 5.508 0.000 0.000 0.000 3.117" Properties=species:S:1:pos:R:3 pbc="T T T"
Pa 0.000 0.000 0.000
Ag 2.754 2.754 0.000
Hg 0.000 2.754 1.559
Hg 2.754 0.000 1.559
```

Its space-group type is P4/mmm, No. 123. For the energy of formation from the pure elements, the calculation gives 0.1885 eV/atom. The excess energy over the best structure of this formula in the dataset is 13.0 kJ per mole of atoms.

***

Entry 6:
Compound: Li2ReBi
Source: Alexandria
Functional: GGA-PBE
Structure: optimized geometry

extended XYZ file:
```
16
Lattice="7.402 0.000 0.000 0.000 7.402 0.000 0.000 0.000 5.321" Properties=species:S:1:pos:R:3 pbc="T T T"
Li 1.739 1.850 0.665
Li 1.850 5.440 1.995
Li 1.850 5.663 4.656
Li 1.962 1.850 3.326
Li 5.440 5.551 3.326
Li 5.551 1.739 4.656
Li 5.551 1.962 1.995
Li 5.663 5.551 0.665
Re 0.000 0.000 0.000
Re 0.000 3.701 1.330
Re 3.701 0.000 3.991
Re 3.701 3.701 2.661
Bi 0.000 0.000 2.661
Bi 0.000 3.701 3.991
Bi 3.701 0.000 1.330
Bi 3.701 3.701 0.000
```

Its space-group type is I-42d, No. 122. For the energy of formation from the pure elements, the calculation gives 0.7422 eV/atom.

***

Entry 7:
Compound: Ce2Si3Rh
Source: Alexandria
Functional: GGA-PBE
Structure: optimized geometry

extended XYZ file:
```
6
Lattice="4.007 0.000 0.000 0.000 4.156 0.000 0.000 0.000 7.137" Properties=species:S:1:pos:R:3 pbc="T T T"
Ce 0.000 0.000 0.000
Ce 0.000 2.078 3.539
Si 2.004 0.000 4.765
Si 2.004 2.078 1.161
Si 2.004 2.078 5.943
Rh 2.004 0.000 2.380
```

Its space-group type is Pmm2, No. 25. The formation energy from raw total energies comes out at -0.856 eV/atom. The excess energy over the best structure of this formula in the dataset is 3.7 kJ per mole of atoms.

***

Entry 8:
Compound: Zr2PtPb
Source: Alexandria
Functional: GGA-PBE
Structure: optimized geometry

extended XYZ file:
```
16
Lattice="6.989 0.000 0.000 0.000 6.989 0.000 0.000 0.000 6.989" Properties=species:S:1:pos:R:3 pbc="T T T"
Zr 0.000 0.000 0.000
Zr 0.000 3.495 3.495
Zr 1.747 1.747 1.747
Zr 1.747 5.242 5.242
Zr 3.495 0.000 3.495
Zr 3.495 3.495 0.000
Zr 5.242 1.747 5.242
Zr 5.242 5.242 1.747
Pt 1.747 1.747 5.242
Pt 1.747 5.242 1.747
Pt 5.242 1.747 1.747
Pt 5.242 5.242 5.242
Pb 0.000 0.000 3.495
Pb 0.000 3.495 0.000
Pb 3.495 0.000 0.000
Pb 3.495 3.495 3.495
```

Its space-group type is F-43m, No. 216. For the energy of formation from the pure elements, the calculation gives -0.0593 eV/atom.

***

Entry 9:
Compound: PmIClO4
Source: Alexandria
Functional: GGA-PBE
Structure: optimized geometry

extended XYZ file:
```
14
Lattice="5.229 -3.689 0.000 5.229 3.689 0.000 -1.198 0.000 6.778" Properties=species:S:1:pos:R:3 pbc="T T T"
Pm 2.111 0.000 0.794
Pm 7.150 0.000 5.984
I 3.044 0.000 4.718
I 6.217 0.000 2.060
Cl -0.651 0.000 5.212
Cl 9.912 0.000 1.566
O 2.239 1.313 5.766
O 1.903 0.000 3.190
O 4.428 0.000 1.456
O 2.239 -1.313 5.766
O 7.022 1.313 1.012
O 4.833 0.000 5.322
O 7.358 0.000 3.588
O 7.022 -1.313 1.012
```

Its space-group type is C2/m, No. 12. The formation energy from raw total energies comes out at -1.316 eV/atom.

***

Entry 10:
Compound: LaThGa3
Source: Alexandria
Functional: GGA-PBE
Structure: optimized geometry

extended XYZ file:
```
10
Lattice="2.212 -13.217 0.000 2.212 13.217 0.000 0.000 0.000 4.242" Properties=species:S:1:pos:R:3 pbc="T T T"
La 2.212 11.285 3.181
La 2.212 -11.285 1.060
Th 2.212 7.798 1.060
Th 2.212 -7.798 3.181
Ga 2.212 4.620 1.060
Ga 2.212 3.135 3.181
Ga 2.212 0.627 3.181
Ga 2.212 -0.627 1.060
Ga 2.212 -3.135 1.060
Ga 2.212 -4.620 3.181
```

Its space-group type is Cmcm, No. 63. For the energy of formation from the pure elements, the calculation gives -0.6265 eV/atom.

***

Entry 11:
Compound: MgZn2Ga2Au2
Source: Alexandria
Functional: GGA-PBE
Structure: optimized geometry

extended XYZ file:
```
14
Lattice="8.142 0.000 0.000 0.000 4.254 0.000 -3.113 0.000 7.294" Properties=species:S:1:pos:R:3 pbc="T T T"
Mg 0.000 0.000 0.000
Mg 4.071 2.127 0.000
Zn -0.348 0.000 2.935
Zn 1.305 2.127 4.359
Zn 3.723 2.127 2.935
Zn 5.376 0.000 4.359
Ga -1.548 2.127 5.937
Ga 2.506 0.000 1.357
Ga 2.523 0.000 5.937
Ga 6.577 2.127 1.357
Au 1.021 2.127 1.732
Au -0.063 0.000 5.562
Au 5.092 0.000 1.732
Au 4.008 2.127 5.562
```

Its space-group type is C2/m, No. 12. For the energy of formation from the pure elements, the calculation gives -0.2192 eV/atom.

***

Entry 12:
Compound: BaCa2AgN
Source: Alexandria
Functional: GGA-PBE
Structure: optimized geometry

extended XYZ file:
```
5
Lattice="4.861 0.000 0.000 0.000 4.861 0.000 0.000 0.000 5.804" Properties=species:S:1:pos:R:3 pbc="T T T"
Ba 0.000 0.000 0.000
Ca 0.000 2.431 2.902
Ca 2.431 0.000 2.902
Ag 2.431 2.431 0.000
N 0.000 0.000 2.902
```

Its space-group type is P4/mmm, No. 123. The formation energy from raw total energies comes out at -0.424 eV/atom.

***

Entry 13:
Compound: Tb6Nd2Sm3Y
Source: Alexandria
Functional: GGA-PBE
Structure: optimized geometry

extended XYZ file:
```
12
Lattice="3.120 -5.400 0.000 3.120 5.400 0.000 -2.073 0.000 11.738" Properties=species:S:1:pos:R:3 pbc="T T T"
Tb 0.006 1.800 8.809
Tb 1.039 0.000 2.924
Tb 0.006 -1.800 8.809
Tb 4.160 1.800 2.928
Tb 3.127 0.000 8.813
Tb 4.160 -1.800 2.928
Nd 2.083 1.799 5.869
Nd 2.083 -1.799 5.869
Sm 3.120 3.601 0.000
Sm 3.120 0.000 0.000
Sm 3.120 -3.601 0.000
Y -1.036 0.000 5.869
```

Its space-group type is C2/m, No. 12. For the energy of formation from the pure elements, the calculation gives 0.0129 eV/atom.

***

Entry 14:
Compound: CaSnAu3
Source: Alexandria
Functional: GGA-PBE
Structure: optimized geometry

extended XYZ file:
```
10
Lattice="6.945 0.000 0.000 0.000 7.028 0.000 0.000 0.000 5.483" Properties=species:S:1:pos:R:3 pbc="T T T"
Ca 0.000 0.000 0.000
Ca 3.472 3.514 0.000
Sn 0.000 3.514 2.741
Sn 3.472 0.000 2.741
Au 0.000 3.514 0.000
Au 0.968 1.003 2.741
Au 2.504 4.518 2.741
Au 3.472 0.000 0.000
Au 4.441 2.511 2.741
Au 5.976 6.025 2.741
```

Its space-group type is Pbam, No. 55. For the energy of formation from the pure elements, the calculation gives -0.2901 eV/atom. The excess energy over the best structure of this formula in the dataset is 17.3 kJ per mole of atoms.

***

Entry 15:
Compound: Ac8TcPd3I4
Source: Alexandria
Functional: GGA-PBE
Structure: optimized geometry

extended XYZ file:
```
16
Lattice="7.682 -4.444 0.000 7.682 4.444 0.000 -5.124 0.000 8.688" Properties=species:S:1:pos:R:3 pbc="T T T"
Ac 3.883 2.302 5.979
Ac -0.091 0.000 5.984
Ac 6.357 2.302 2.709
Ac 2.562 0.000 2.720
Ac 7.678 0.000 5.968
Ac 3.883 -2.302 5.979
Ac 10.332 0.000 2.703
Ac 6.357 -2.302 2.709
Tc -2.562 0.000 4.344
Pd 1.279 2.222 4.344
Pd 1.279 -2.222 4.344
Pd 5.120 0.000 4.344
I 0.000 0.000 0.000
I 3.841 2.222 0.000
I 3.841 -2.222 0.000
I 7.682 0.000 0.000
```

Its space-group type is C2/m, No. 12. The formation energy from raw total energies comes out at -0.869 eV/atom.

***

Entry 16:
Compound: Pm3InSn
Source: Alexandria
Functional: GGA-PBE
Structure: optimized geometry

extended XYZ file:
```
10
Lattice="4.909 0.000 0.000 0.000 7.387 0.000 0.000 0.000 9.198" Properties=species:S:1:pos:R:3 pbc="T T T"
Pm 1.227 0.050 1.761
Pm 1.227 1.847 5.198
Pm 1.227 3.644 1.761
Pm 3.682 3.743 7.437
Pm 3.682 5.540 4.001
Pm 3.682 7.337 7.437
In 1.227 5.540 5.953
In 3.682 1.847 3.245
Sn 1.227 1.847 8.323
Sn 3.682 5.540 0.875
```

Its space-group type is Pmmn, No. 59. For the energy of formation from the pure elements, the calculation gives -0.4304 eV/atom.

***

Entry 17:
Compound: PRuW2
Source: Alexandria
Functional: GGA-PBE
Structure: optimized geometry

extended XYZ file:
```
8
Lattice="3.716 0.000 0.000 0.000 3.716 0.000 0.000 0.000 8.392" Properties=species:S:1:pos:R:3 pbc="T T T"
P 0.000 0.000 0.000
P 1.858 1.858 4.196
Ru 0.000 0.000 4.196
Ru 1.858 1.858 0.000
W 0.000 1.858 2.098
W 0.000 1.858 6.294
W 1.858 0.000 2.098
W 1.858 0.000 6.294
```

Its space-group type is I4/mmm, No. 139. For the energy of formation from the pure elements, the calculation gives 0.1861 eV/atom.

***

Entry 18:
Compound: SmSc3Bi3
Source: Alexandria
Functional: GGA-PBE
Structure: optimized geometry

extended XYZ file:
```
14
Lattice="4.435 2.561 6.066 -4.435 2.561 6.066 0.000 -5.121 6.066" Properties=species:S:1:pos:R:3 pbc="T T T"
Sm 0.000 0.000 3.003
Sm 0.000 0.000 15.194
Sc -2.330 -0.005 7.706
Sc -1.161 -2.020 10.491
Sc 1.169 -2.016 7.706
Sc -1.169 2.016 10.491
Sc 1.161 2.020 7.706
Sc 2.330 0.005 10.491
Bi -1.701 -2.907 7.467
Bi -3.368 0.019 10.729
Bi -1.668 2.927 7.467
Bi 1.668 -2.927 10.729
Bi 3.368 -0.019 7.467
Bi 1.701 2.907 10.729
```

Its space-group type is R-3, No. 148. For the energy of formation from the pure elements, the calculation gives -0.5413 eV/atom.

***

Entry 19:
Compound: KSr2SbRh
Source: Alexandria
Functional: GGA-PBE
Structure: optimized geometry

extended XYZ file:
```
5
Lattice="6.381 0.000 0.000 0.000 6.381 0.000 0.000 0.000 5.018" Properties=species:S:1:pos:R:3 pbc="T T T"
K 0.000 0.000 0.000
Sr 0.000 3.190 2.509
Sr 3.190 0.000 2.509
Sb 3.190 3.190 2.509
Rh 3.190 3.190 0.000
```

Its space-group type is P4/mmm, No. 123. The formation energy from raw total energies comes out at -0.089 eV/atom.

***

Entry 20:
Compound: SrTl4Bi
Source: Alexandria
Functional: GGA-PBE
Structure: optimized geometry

extended XYZ file:
```
6
Lattice="0.000 4.612 4.612 4.612 0.000 4.612 4.612 4.612 0.000" Properties=species:S:1:pos:R:3 pbc="T T T"
Sr 0.000 0.000 0.000
Tl 3.462 3.462 3.462
Tl 5.762 5.762 3.462
Tl 5.762 3.462 5.762
Tl 3.462 5.762 5.762
Bi 6.918 6.918 6.918
```

Its space-group type is F-43m, No. 216. For the energy of formation from the pure elements, the calculation gives -0.1246 eV/atom. The excess energy over the best structure of this formula in the dataset is 0.0 kJ per mole of atoms.

***

Computed electronic total energy (eV per cell) in order:
-50.48, -52.20, -26.53, -27.92, -12.20, -68.75, -40.62, -108.33, -74.38, -49.12, -36.57, -19.22, -57.78, -34.57, -78.91, -46.29, -79.70, -78.29, -16.38, -15.78
Computed total magnetization (μB/atom) in order:
0.12, 0.02, 0.00, 0.00, 0.33, 0.00, 0.04, 0.60, 0.14, 0.00, 0.00, 0.00, 0.00, 0.00, 0.00, 0.00, 0.00, 0.00, 0.00, 0.00